Computed, not measured: a relaxed structure of Pm2Ni3As4Rh at the PBE level of DFT.

D(E_F) (states/eV per atom): 0.536
E_tot (eV per formula unit): -61.255
Magnetization (Bohr magnetons per cell): 0.00
Formation energy from the elements (eV/atom): -0.846

Unit cell a=4.2290 b=4.2290 c=9.5864 alpha=90.00 beta=90.00 gamma=90.00
Last column: nearest neighbours and their distance in Å.
Fractional coordinates of all 10 atoms:
Pm 0.0000 0.5000 0.2470  8 As 3.17-3.19, 7 Ni 3.22-3.49, 2 Rh 3.22
Pm 0.5000 0.0000 0.7530  8 As 3.17-3.19, 7 Ni 3.22-3.49, 2 Rh 3.22
Ni 0.0000 0.5000 0.8834  5 As 2.36-2.39
Ni 0.5000 0.0000 0.1166  5 As 2.36-2.39
Ni 0.5000 0.5000 0.5000  4 As 2.49
As 0.0000 0.0000 0.0000  4 Ni 2.39
As 0.0000 0.5000 0.6368  3 Ni 2.36-2.49, 2 Rh 2.49
As 0.5000 0.0000 0.3632  3 Ni 2.36-2.49, 2 Rh 2.49
As 0.5000 0.5000 0.0000  4 Ni 2.39
Rh 0.0000 0.0000 0.5000  4 As 2.49